1.
{
  "formula": "PmGaNiAu",
  "functional": "PBE",
  "state": "optimized geometry",
  "lattice_angstrom": [[4.769, 0.000, 0.000], [2.385, 4.130, 0.000], [2.385, 1.377, 3.894]],
  "species": ["Pm", "Ni", "Au", "Ga"],
  "fractional_positions": [[0.000, 0.000, 0.000], [0.250, 0.250, 0.250], [0.750, 0.750, 0.750], [0.500, 0.500, 0.500]],
  "formation_energy_kj_per_mol_fu": -151.0,
  "sg": "F-43m"
}

2.
{
  "formula": "Pr2Ga4NiAu3",
  "functional": "PBE",
  "state": "optimized geometry",
  "lattice_angstrom": [[-2.428, -0.022, -3.645], [-3.078, -2.334, 2.064], [-4.713, 8.946, 3.084]],
  "species": ["Pr", "Ga", "Ga", "Ga", "Pr", "Au", "Ni", "Ga", "Au", "Au"],
  "fractional_positions": [[0.500, 0.000, 0.259], [0.500, 0.000, 0.620], [0.000, 0.000, 0.000], [0.500, 0.500, 0.000], [0.000, 0.500, 0.741], [0.000, 0.500, 0.139], [0.500, 0.500, 0.500], [0.000, 0.500, 0.380], [0.500, 0.000, 0.861], [0.000, 0.000, 0.500]],
  "formation_energy_kj_per_mol_fu": -590.0,
  "sg": "P-4m2"
}

3.
{
  "formula": "PrGa3NiAu",
  "functional": "PBE",
  "state": "optimized geometry",
  "lattice_angstrom": [[-4.882, -1.032, 3.686], [-2.985, -2.458, -4.642], [3.771, -4.308, 3.788]],
  "species": ["Ni", "Pr", "Ni", "Ga", "Ga", "Ga", "Ga", "Ga", "Pr", "Au", "Au", "Ga"],
  "fractional_positions": [[0.250, 0.943, 0.886], [0.250, 0.724, 0.449], [0.750, 0.057, 0.114], [0.500, 0.284, 0.000], [0.000, 0.716, 0.000], [0.250, 0.138, 0.276], [0.500, 0.716, 0.000], [0.750, 0.862, 0.724], [0.750, 0.276, 0.551], [0.250, 0.347, 0.694], [0.750, 0.653, 0.306], [0.000, 0.284, 0.000]],
  "formation_energy_kj_per_mol_fu": -217.9,
  "sg": "Cmcm"
}

4.
{
  "formula": "Pu2Ga4Ni3Au",
  "functional": "PBE",
  "state": "optimized geometry",
  "lattice_angstrom": [[4.050, 0.000, 0.000], [0.000, 4.050, 0.000], [0.000, 0.000, 10.640]],
  "species": ["Ga", "Ga", "Pu", "Au", "Ni", "Pu", "Ni", "Ga", "Ga", "Ni"],
  "fractional_positions": [[0.000, 0.000, 0.000], [0.500, 0.000, 0.645], [0.000, 0.500, 0.764], [0.500, 0.500, 0.500], [0.000, 0.500, 0.131], [0.500, 0.000, 0.236], [0.500, 0.000, 0.869], [0.500, 0.500, 0.000], [0.000, 0.500, 0.355], [0.000, 0.000, 0.500]],
  "formation_energy_kj_per_mol_fu": -363.9,
  "sg": "P-4m2"
}

5.
{
  "formula": "PuGa4NiAu2",
  "functional": "PBE",
  "state": "optimized geometry",
  "lattice_angstrom": [[-1.322, 4.086, 0.733], [-2.893, 1.866, -2.670], [-7.961, -1.033, 4.350]],
  "species": ["Au", "Ga", "Au", "Ga", "Pu", "Ga", "Ni", "Ga"],
  "fractional_positions": [[0.244, 0.244, 0.268], [0.136, 0.136, 0.593], [0.756, 0.756, 0.732], [0.601, 0.601, 0.197], [0.000, 0.000, 0.000], [0.399, 0.399, 0.803], [0.500, 0.500, 0.500], [0.864, 0.864, 0.407]],
  "formation_energy_kj_per_mol_fu": -206.9,
  "sg": "R-3m"
}

6.
{
  "formula": "Ga2ReNiAu",
  "functional": "PBE",
  "state": "optimized geometry",
  "lattice_angstrom": [[4.387, 0.000, 0.000], [0.000, 4.654, 0.000], [0.000, 0.000, 4.387]],
  "species": ["Ni", "Ga", "Ga", "Re", "Au"],
  "fractional_positions": [[0.000, 0.000, 0.000], [0.500, 0.000, 0.000], [0.000, 0.000, 0.500], [0.000, 0.500, 0.000], [0.500, 0.500, 0.500]],
  "formation_energy_kj_per_mol_fu": 344.7,
  "polymorph_energy_kcal_per_mol_atoms": 0.000,
  "sg": "P4/mmm"
}

no.,magnetic moment (Bohr magnetons per cell)
1,0.00
2,0.00
3,0.00
4,10.73
5,5.65
6,1.18